# 1
TaTcPt at its PBEsol-relaxed geometry. Source: the Alexandria database, functional SCAN.

Cell lengths 6.005, 6.005, 6.005 Å; angles 90.00, 90.00, 90.00 degrees
Space group F-43m (No. 216)
Inequivalent atoms, fractional coordinates:
Ta: 0.000 0.000 0.000 (multiplicity 4)
Tc: 0.250 0.250 0.750 (multiplicity 4)
Pt: 0.250 0.250 0.250 (multiplicity 4)

## Properties
For the energy above the most stable polymorph in this dataset, the calculation gives 369 meV per atom.



# 2
Cd2GaIr2 at its PBEsol-relaxed geometry. Source: the Alexandria database, functional SCAN.

Cell lengths 6.330, 6.330, 4.319 Å; angles 90.00, 90.00, 90.00 degrees
Space group P4/mbm (No. 127)
Inequivalent atoms, fractional coordinates:
Cd: 0.165 0.335 0.000 (multiplicity 4)
Ga: 0.000 0.000 0.500 (multiplicity 2)
Ir: 0.141 0.641 0.500 (multiplicity 4)



# 3
BaBe2Tl at its PBEsol-relaxed geometry. Source: the Alexandria database, functional SCAN.

Cell lengths 7.182, 7.182, 7.182 Å; angles 90.00, 90.00, 90.00 degrees
Space group F-43m (No. 216)
Inequivalent atoms, fractional coordinates:
Ba: 0.000 0.000 0.000 (multiplicity 4)
Be: 0.000 0.000 0.500 (multiplicity 4)
Be: 0.250 0.250 0.250 (multiplicity 4)
Tl: 0.250 0.250 0.750 (multiplicity 4)

## Properties
For the energy above the most stable polymorph in this dataset, the calculation gives 121 meV per atom.



# 4
ReAgIr2 at its PBEsol-relaxed geometry. Source: the Alexandria database, functional SCAN.

Cell lengths 2.766, 2.766, 7.743 Å; angles 90.00, 90.00, 90.00 degrees
Space group P4/mmm (No. 123)
Inequivalent atoms, fractional coordinates:
Re: 0.000 0.000 0.000 (multiplicity 1)
Ag: 0.000 0.000 0.500 (multiplicity 1)
Ir: 0.500 0.500 0.231 (multiplicity 2)

## Properties
For the energy above the most stable polymorph in this dataset, the calculation gives 0 meV per atom.



| no. | V (Å³/atom) | energy relative to the elements (eV/atom) |
| --- | --- | --- |
| 1 | 18.05 | 0.04 |
| 2 | 17.31 | -0.19 |
| 3 | 23.16 | 0.65 |
| 4 | 14.81 | 0.03 |